1.
First-principles (PBE) data for a relaxed Ac12Ga2Pb5 crystal, as listed in Alexandria via LeMat-Bulk.

Lattice parameters (Å, degrees): 19.531 8.102 10.597 90.00 105.05 90.00
Space group C2/m (No. 12)
Asymmetric unit:
Ac (0.003, 0.000, 0.280) [4 per cell]
Ac (0.008, 0.500, 0.824) [4 per cell]
Ac (0.150, 0.257, 0.573) [8 per cell]
Ac (0.164, 0.243, 0.089) [8 per cell]
Ga (0.000, 0.162, 0.000) [4 per cell]
Pb (0.000, 0.500, 0.500) [2 per cell]
Pb (0.185, 0.000, 0.835) [4 per cell]
Pb (0.199, 0.000, 0.362) [4 per cell]

**Calculated total energy**: -0.306 Ry/atom
**Energy relative to the elements**: -0.273 eV/atom
**M_tot**: 0.98 μB per cell
**Fermi-level density of states**: 1.22 states/eV per atom



2.
First-principles (PBE) data for a relaxed YCdMo3 crystal, as listed in Alexandria via LeMat-Bulk.

Lattice parameters (Å, degrees): 4.851 4.851 4.851 90.00 90.00 90.00
Space group Pm-3m (No. 221)
Asymmetric unit:
Y (0.000, 0.000, 0.000) [1 per cell]
Cd (0.500, 0.500, 0.500) [1 per cell]
Mo (0.000, 0.000, 0.500) [3 per cell]

**Calculated total energy**: -0.416 Ry/atom
**Energy relative to the elements**: 2.313 eV/atom
**M_tot**: 0.00 μB per cell
**Fermi-level density of states**: 1.37 states/eV per atom